No. 1
# Ca2ScAg

A relaxed structure of Ca2ScAg (PBE, the Alexandria database).

Cell: 3.7664 5.2323 6.7676 Å, 67.22 90.00 90.00°
Last column: nearest neighbours and their distance in Å.
Fractional positions:
Ca  0.5000  0.2874  0.3009  1 Ag 3.02
Sc  0.0000  0.6918  0.4914  2 Ag 2.77
Ca  0.0000  0.9922  0.8904  4 Ag 3.25-3.26, 2 Sc 3.61
Ag  0.5000  0.5285  0.8172  2 Sc 2.77, 1 Ca 3.02

## Properties
- energy relative to the lowest polymorph listed for this composition (meV/atom) = 99

No. 2
# Ca2ScAg

A relaxed structure of Ca2ScAg (PBE, the Alexandria database).

Cell: 10.6415 10.6415 10.6415 Å, 19.71 19.71 19.71°
Last column: nearest neighbours and their distance in Å.
Fractional positions:
Ag  0.7500  0.7500  0.7500  6 Ca 3.15
Sc  0.2500  0.2500  0.2500  6 Ca 3.56, 6 Sc 3.64
Ca  0.0086  0.0086  0.0086  3 Ag 3.15
Ca  0.4914  0.4914  0.4914  3 Ag 3.15

## Properties
- energy relative to the lowest polymorph listed for this composition (meV/atom) = 172

No. 3
# Ca2ScAg

A relaxed structure of Ca2ScAg (PBE, the Alexandria database).

Cell: 8.7134 8.7134 6.9442 Å, 51.14 51.14 90.00°
Last column: nearest neighbours and their distance in Å.
Fractional positions:
Sc  0.2500  0.7500  0.5000  2 Ag 3.20, 4 Ca 3.51
Ca  0.3750  0.3232  0.7500  2 Ag 2.89
Ca  0.6768  0.1250  0.2500  2 Ag 2.89
Sc  0.5000  0.5000  0.0000  2 Ag 3.20, 4 Ca 3.51
Ca  0.0732  0.6250  0.2500  2 Ag 2.89
Ag  0.7500  0.2500  0.5000  4 Ca 2.89, 2 Sc 3.20
Ca  0.8750  0.9268  0.7500  2 Ag 2.89
Ag  0.0000  0.0000  0.0000  4 Ca 2.89, 2 Sc 3.20

## Properties
- energy relative to the lowest polymorph listed for this composition (meV/atom) = 289

No. 4
# CaSc2Ag2

A relaxed structure of CaSc2Ag2 (PBE, the Alexandria database).

Cell: 8.3691 8.3691 3.2522 Å, 90.00 90.00 90.00°
Last column: nearest neighbours and their distance in Å.
Fractional positions:
Ag  0.6602  0.8398  0.5000  6 Sc 2.93-2.96, 2 Ag 3.25
Ag  0.8398  0.3398  0.5000  6 Sc 2.93-2.96, 2 Ag 3.25
Ca  0.5000  0.5000  0.0000  2 Ca 3.25, 4 Sc 3.26, 8 Ag 3.54
Sc  0.8657  0.6343  0.0000  6 Ag 2.93-2.96, 3 Sc 3.18-3.25, 2 Ca 3.26
Ag  0.1602  0.6602  0.5000  6 Sc 2.93-2.96, 2 Ag 3.25
Sc  0.6343  0.1343  0.0000  6 Ag 2.93-2.96, 3 Sc 3.18-3.25, 2 Ca 3.26
Ca  0.0000  0.0000  0.0000  2 Ca 3.25, 4 Sc 3.26, 8 Ag 3.54
Sc  0.3657  0.8657  0.0000  6 Ag 2.93-2.96, 3 Sc 3.18-3.25, 2 Ca 3.26
Sc  0.1343  0.3657  0.0000  6 Ag 2.93-2.96, 3 Sc 3.18-3.25, 2 Ca 3.26
Ag  0.3398  0.1602  0.5000  6 Sc 2.93-2.96, 2 Ag 3.25

## Properties
- energy relative to the lowest polymorph listed for this composition (meV/atom) = 8

No. 5
# Ca2Sc2Ag

A relaxed structure of Ca2Sc2Ag (PBE, the Alexandria database).

Cell: 7.2847 7.2847 5.5732 Å, 90.00 90.00 90.00°
Last column: nearest neighbours and their distance in Å.
Fractional positions:
Sc  0.8525  0.6475  0.0000  2 Ag 2.78, 1 Sc 3.04
Ag  0.5000  0.5000  0.0000  4 Sc 2.78
Ca  0.1713  0.6713  0.5000  6 Sc 3.35-3.63, 1 Ca 3.53
Ag  0.0000  0.0000  0.0000  4 Sc 2.78
Ca  0.8287  0.3287  0.5000  6 Sc 3.35-3.63, 1 Ca 3.53
Sc  0.1475  0.3525  0.0000  2 Ag 2.78, 1 Sc 3.04
Ca  0.3287  0.1713  0.5000  6 Sc 3.35-3.63, 1 Ca 3.53
Sc  0.6475  0.1475  0.0000  2 Ag 2.78, 1 Sc 3.04
Sc  0.3525  0.8525  0.0000  2 Ag 2.78, 1 Sc 3.04
Ca  0.6713  0.8287  0.5000  6 Sc 3.35-3.63, 1 Ca 3.53

No. 6
# Ca2ScAg

A relaxed structure of Ca2ScAg (PBE, the Alexandria database).

Cell: 6.5336 6.5336 5.4225 Å, 65.60 65.60 33.18°
Last column: nearest neighbours and their distance in Å.
Fractional positions:
Ag  0.2500  0.2500  0.2500  4 Ca 3.01, 4 Sc 3.29
Ca  0.9587  0.9587  0.0411  2 Ag 3.01
Ca  0.5413  0.5413  0.4589  2 Ag 3.01
Sc  0.7500  0.7500  0.7500  4 Ag 3.29, 4 Ca 3.59-3.60

## Properties
- energy relative to the lowest polymorph listed for this composition (meV/atom) = 138

No. 7
# Ca2ScAg

A relaxed structure of Ca2ScAg (PBE, the Alexandria database).

Cell: 10.4445 10.4445 10.4445 Å, 20.80 20.80 20.80°
Last column: nearest neighbours and their distance in Å.
Fractional positions:
Ca  0.0178  0.0178  0.0178  3 Ag 3.11
Ag  0.7569  0.7569  0.7569  3 Sc 2.82, 3 Ca 3.11
Ca  0.2434  0.2434  0.2434  3 Sc 3.63, 9 Ca 3.77-3.95
Sc  0.4819  0.4819  0.4819  3 Ag 2.82

## Properties
- energy relative to the lowest polymorph listed for this composition (meV/atom) = 143

No. 8
# Ca2ScAg

A relaxed structure of Ca2ScAg (PBE, the Alexandria database).

Cell: 5.3614 5.3614 5.3614 Å, 60.00 60.00 60.00°
Last column: nearest neighbours and their distance in Å.
Fractional positions:
Ag  0.5000  0.5000  0.5000  4 Ca 3.28, 4 Sc 3.28
Sc  0.7500  0.7500  0.7500  4 Ag 3.28, 4 Ca 3.28
Ca  0.0000  0.0000  0.0000  4 Ca 3.28, 4 Sc 3.28
Ca  0.2500  0.2500  0.2500  4 Ca 3.28, 4 Ag 3.28

## Properties
- energy relative to the lowest polymorph listed for this composition (meV/atom) = 198

Listing ΔE_f for the structures above in their given order: 0.106; 0.400; 0.866; -0.684; 0.813; 0.263; 0.285; 0.505 eV/f.u..